No. 1
# Na2CoIr2S6 (PBE, relaxed)
# DFT total energy = -5.317 eV/atom
# M_tot = 0.000 μB per atom
# Formation energy from raw total energies = -0.569 eV/atom
# SG = C2/m (12)
data_Na2CoIr2S6
_space_group_name_H-M_alt 'P 1'
_space_group_IT_number 1
_cell_length_a 6.1553
_cell_length_b 6.1553
_cell_length_c 6.7342
_cell_angle_alpha 98.98
_cell_angle_beta 98.98
_cell_angle_gamma 119.85
loop_
_space_group_symop_operation_xyz
'x,y,z'
loop_
_atom_site_label
_atom_site_fract_x
_atom_site_fract_y
_atom_site_fract_z
_atom_site_occupancy
Na1 0.1697 0.8303 0.0000 1
Na2 0.8303 0.1697 0.0000 1
Co1 0.0000 0.0000 0.5000 1
Ir1 0.3335 0.6665 0.5000 1
Ir2 0.6665 0.3335 0.5000 1
S1 0.0620 0.3849 0.6815 1
S2 0.2584 0.2584 0.3178 1
S3 0.3849 0.0620 0.6815 1
S4 0.6151 0.9380 0.3185 1
S5 0.7416 0.7416 0.6822 1
S6 0.9380 0.6151 0.3185 1

No. 2
# Na4CoIr3S8 (PBE, relaxed)
# DFT total energy = -5.162 eV/atom
# M_tot = 0.000 μB per atom
# Formation energy from raw total energies = -0.663 eV/atom
# SG = R-3m (166)
data_Na4CoIr3S8
_space_group_name_H-M_alt 'P 1'
_space_group_IT_number 1
_cell_length_a 7.5126
_cell_length_b 7.5126
_cell_length_c 7.5126
_cell_angle_alpha 57.77
_cell_angle_beta 57.77
_cell_angle_gamma 57.77
loop_
_space_group_symop_operation_xyz
'x,y,z'
loop_
_atom_site_label
_atom_site_fract_x
_atom_site_fract_y
_atom_site_fract_z
_atom_site_occupancy
Na1 0.0000 0.0000 0.0000 1
Na2 0.0000 0.5000 0.5000 1
Na3 0.5000 0.0000 0.5000 1
Na4 0.5000 0.5000 0.0000 1
Co1 0.5000 0.5000 0.5000 1
Ir1 0.0000 0.0000 0.5000 1
Ir2 0.0000 0.5000 0.0000 1
Ir3 0.5000 0.0000 0.0000 1
S1 0.2288 0.2288 0.2288 1
S2 0.2369 0.7229 0.7229 1
S3 0.2771 0.2771 0.7631 1
S4 0.2771 0.7631 0.2771 1
S5 0.7229 0.2369 0.7229 1
S6 0.7229 0.7229 0.2369 1
S7 0.7631 0.2771 0.2771 1
S8 0.7712 0.7712 0.7712 1